## Pr2MgAl3Ag4 (GGA-PBE)

Data for crystalline Pr2MgAl3Ag4 at its relaxed geometry.

**M_tot**: 0.00 μB/f.u.
**N(E_F)**: 0.810 states/eV per atom
**Formation energy**: -0.31 eV per atom

abc: 4.4667 4.4667 10.9242
angles: 90.00 90.00 90.00
Sites, in units of the cell vectors:
Al 0.5000 0.0000 0.8701
Al 0.0000 0.5000 0.1299
Al 0.0000 0.0000 0.5000
Ag 0.5000 0.5000 0.0000
Ag 0.5000 0.0000 0.6378
Ag 0.0000 0.5000 0.3622
Ag 0.0000 0.0000 0.0000
Pr 0.0000 0.5000 0.7607
Pr 0.5000 0.0000 0.2393
Mg 0.5000 0.5000 0.5000

=====

## PrMgAl2Ag4 (GGA-PBE)

Data for crystalline PrMgAl2Ag4 at its relaxed geometry.

**M_tot**: 0.00 μB/f.u.
**N(E_F)**: 0.679 states/eV per atom
**Formation energy**: -0.22 eV per atom

abc: 4.5591 4.5591 9.2846
angles: 75.79 75.79 60.00
Sites, in units of the cell vectors:
Ag 0.8693 0.8693 0.3920
Ag 0.1307 0.1307 0.6080
Ag 0.6004 0.6004 0.1988
Ag 0.3996 0.3996 0.8012
Al 0.2452 0.2452 0.2645
Al 0.7548 0.7548 0.7355
Pr 0.0000 0.0000 0.0000
Mg 0.5000 0.5000 0.5000

=====

## PuMgAlAg (GGA-PBE)

Data for crystalline PuMgAlAg at its relaxed geometry.

**M_tot**: 5.53 μB/f.u.
**N(E_F)**: 2.459 states/eV per atom
**Formation energy**: -0.06 eV per atom

abc: 4.9625 4.9625 4.9625
angles: 60.00 60.00 60.00
Site moments in Bohr magnetons follow the coordinates.
Sites, in units of the cell vectors:
Pu 0.5000 0.5000 0.5000  5.27
Al 0.7500 0.7500 0.7500  0.00
Mg 0.0000 0.0000 0.0000  -0.01
Ag 0.2500 0.2500 0.2500  0.03

=====

What did the first record say?
## Pr2MgAl3Ag4 (GGA-PBE)

Data for crystalline Pr2MgAl3Ag4 at its relaxed geometry.

**M_tot**: 0.00 μB/f.u.
**N(E_F)**: 0.810 states/eV per atom
**Formation energy**: -0.31 eV per atom

abc: 4.4667 4.4667 10.9242
angles: 90.00 90.00 90.00
Sites, in units of the cell vectors:
Al 0.5000 0.0000 0.8701
Al 0.0000 0.5000 0.1299
Al 0.0000 0.0000 0.5000
Ag 0.5000 0.5000 0.0000
Ag 0.5000 0.0000 0.6378
Ag 0.0000 0.5000 0.3622
Ag 0.0000 0.0000 0.0000
Pr 0.0000 0.5000 0.7607
Pr 0.5000 0.0000 0.2393
Mg 0.5000 0.5000 0.5000